Computed, not measured: an optimized crystal structure of Na3Y3UO8 at the PBE level of DFT.

Output
- Total energy: -7.76 eV/atom
- Symmetry: R-3m (166)
- ΔE_f (raw): -64.70 kcal/mol of atoms

The structure in POSCAR format:
```
Na3Y3UO8
1.0
3.460 1.998 5.641
-3.460 1.998 5.641
0.000 -3.996 5.641
Na Y U O
3 3 1 8
Direct
0.000 0.500 0.500
0.500 0.000 0.500
0.500 0.500 0.000
0.000 0.000 0.500
0.000 0.500 0.000
0.500 0.000 0.000
0.500 0.500 0.500
0.236 0.236 0.236
0.246 0.727 0.727
0.273 0.273 0.754
0.273 0.754 0.273
0.727 0.246 0.727
0.727 0.727 0.246
0.754 0.273 0.273
0.764 0.764 0.764
```